Compound: CdH4Pt2Rh
Source: Alexandria
Functional: GGA-PBE
Structure: relaxed

Cell lengths 4.2734, 4.2734, 5.3802 Å; angles 112.16, 112.16, 92.88 degrees
Positions (direct):
Pt 0.2543 0.7543 0.5086
H 0.4619 0.8330 0.2948
Rh 0.5005 0.5005 0.0010
Pt 0.7543 0.2543 0.5086
H 0.1622 0.1622 0.6927
H 0.5305 0.5305 0.6927
H 0.8330 0.4619 0.2948
Cd 0.0036 0.0036 0.0072

Results
Its space group is Fmm2. For the density of states at the Fermi level, the calculation gives 1.4 states/eV/f.u. As for the final energy: -33.8 eV for the cell shown.



Compound: CdSbH2Pt
Source: Alexandria
Functional: GGA-PBE
Structure: relaxed

Cell lengths 3.8327, 5.9981, 3.8327 Å; angles 90.00, 90.00, 90.00 degrees
Positions (direct):
H 0.5000 0.0000 0.0000
Pt 0.5000 0.5000 0.5000
H 0.0000 0.0000 0.5000
Cd 0.0000 0.5000 0.0000
Sb 0.0000 0.0000 0.0000

Results
Its space group is P4/mmm. For the density of states at the Fermi level, the calculation gives 2.7 states/eV/f.u. As for the final energy: -15.3 eV for the cell shown.



Compound: ScCdHPt2
Source: Alexandria
Functional: GGA-PBE
Structure: relaxed

Cell lengths 4.1334, 4.1334, 4.2516 Å; angles 90.00, 90.00, 90.00 degrees
Positions (direct):
Pt 0.0000 0.5000 0.0000
Cd 0.5000 0.5000 0.5000
Sc 0.0000 0.0000 0.5000
Pt 0.5000 0.0000 0.0000
H 0.0000 0.0000 0.0000

Results
Its space group is P4/mmm. For the density of states at the Fermi level, the calculation gives 2.5 states/eV/f.u. As for the final energy: -25.1 eV for the cell shown.



Which of these has the highest final energy?
CdSbH2Pt



What is the final energy in the first record?
-33.8 eV for the cell shown



The highest final energy belongs to which entry?
CdSbH2Pt



Which of these has the highest final energy?
CdSbH2Pt